The following is a PBE+U calculation of a relaxed ThFe2F8 crystal, from the Alexandria database.

Summary:
Fermi-level density of states, states/eV/cell: 0.00
DFT total energy, eV for the cell shown: -135.13

a b c (Å): 10.9644 5.2801 5.2094
angles (deg): 90.00 105.00 90.00
Space group C2/m (No. 12)
Asymmetric unit:
Th: 0.0000 0.0000 0.0000 [2 per cell]
Fe: 0.1637 0.5000 0.5516 [4 per cell]
F: 0.0354 0.5000 0.7619 [4 per cell]
F: 0.1049 0.0000 0.7000 [4 per cell]
F: 0.1751 0.2329 0.2565 [8 per cell]